! MnTl2Hg, optimized geometry, DFT PBEsol; values from VASP
! Energy of formation from the pure elements, eV/f.u.: 1.6
! Space-group type: I-4m2
! Magnetization, μB per formula unit: 4.012
! Polymorph energy (0 for the lowest one), kJ/mol of atoms: 8.5
! Fermi-level density of states, states/eV/f.u.: 2.1
! Calculated volume, Å³/cell: 89
&SYSTEM
  ibrav = 0, nat = 4, ntyp = 3
/
ATOMIC_SPECIES
Mn 54.94 Mn.upf
Tl 204.38 Tl.upf
Hg 200.59 Hg.upf
ATOMIC_POSITIONS crystal
Mn 0.000 0.000 0.000
Tl 0.500 0.500 0.000
Tl 0.750 0.250 0.500
Hg 0.250 0.750 0.500
CELL_PARAMETERS angstrom
-2.168 2.168 4.754
2.168 -2.168 4.754
2.168 2.168 -4.754